[1]
First-principles (PBE) data for a geometry-optimized Ba2CaMn2 structure, as listed in Alexandria.

The value obtained for the formation energy is 246 kJ/mol of formula units. Its calculated volume is 370.27 Å³ per cell. For the total moment, the calculation gives 7.5 μB per formula unit. The calculated density is 3.8 g/cm³. For the energy relative to the lowest polymorph listed for this composition, the calculation gives 0.0 meV per atom. The space group is No. 127.

Cell lengths 8.5910, 8.5910, 5.0168 Å; angles 90.00, 90.00, 90.00 degrees
Fractional coordinates of all 10 atoms:
Ba (0.1731, 0.3269, 0.0000)
Ba (0.3269, 0.8269, 0.0000)
Ba (0.6731, 0.1731, 0.0000)
Ba (0.8269, 0.6731, 0.0000)
Ca (0.0000, 0.0000, 0.5000)
Ca (0.5000, 0.5000, 0.5000)
Mn (0.1055, 0.6055, 0.5000)
Mn (0.3945, 0.1055, 0.5000)
Mn (0.6055, 0.8945, 0.5000)
Mn (0.8945, 0.3945, 0.5000)

=====

[2]
First-principles (PBE) data for a geometry-optimized Ba2In4Ga3Cu structure, as listed in Alexandria.

The value obtained for the formation energy is -317 kJ/mol of formula units. Its calculated volume is 265.82 Å³ per cell. For the total moment, the calculation gives 0.0 μB per formula unit. The calculated density is 6.3 g/cm³. The space group is No. 115.

Cell lengths 4.8113, 4.8113, 11.4835 Å; angles 90.00, 90.00, 90.00 degrees
Fractional coordinates of all 10 atoms:
Ba (0.0000, 0.5000, 0.2411)
Ba (0.5000, 0.0000, 0.7589)
In (0.0000, 0.0000, 0.5000)
In (0.0000, 0.5000, 0.8821)
In (0.5000, 0.0000, 0.1179)
In (0.5000, 0.5000, 0.5000)
Ga (0.0000, 0.0000, 0.0000)
Ga (0.0000, 0.5000, 0.6405)
Ga (0.5000, 0.0000, 0.3595)
Cu (0.5000, 0.5000, 0.0000)

=====

[3]
First-principles (PBE) data for a geometry-optimized La2PmPuP4 structure, as listed in Alexandria.

The value obtained for the formation energy is -1112 kJ/mol of formula units. Its calculated volume is 204.67 Å³ per cell. For the total moment, the calculation gives 4.9 μB per formula unit. The calculated density is 6.4 g/cm³. The space group is No. 10.

Cell lengths 7.2060, 4.1723, 7.2199 Å; angles 90.00, 109.46, 90.00 degrees
Fractional coordinates of all 8 atoms:
La (0.0000, 0.0000, 0.0000)
La (0.5000, 0.5000, 0.0000)
Pm (0.0000, 0.5000, 0.5000)
Pu (0.5000, 0.0000, 0.5000)
P (0.2521, 0.0000, 0.7391)
P (0.2612, 0.5000, 0.2660)
P (0.7388, 0.5000, 0.7340)
P (0.7479, 0.0000, 0.2609)

=====

[4]
First-principles (PBE) data for a geometry-optimized CrNi2Rh structure, as listed in Alexandria.

The value obtained for the formation energy is 10 kJ/mol of formula units. Its calculated volume is 48.06 Å³ per cell. For the total moment, the calculation gives 1.3 μB per formula unit. The calculated density is 9.4 g/cm³. The space group is No. 8.

Cell lengths 4.4382, 4.4382, 4.4143 Å; angles 100.23, 100.23, 34.23 degrees
Fractional coordinates of all 4 atoms:
Cr (0.0000, 0.0000, 0.0000)
Ni (0.2536, 0.2536, 0.7436)
Ni (0.5053, 0.5053, 0.5183)
Rh (0.7526, 0.7526, 0.2427)

=====

[5]
First-principles (PBE) data for a geometry-optimized Rb2BaHfHg structure, as listed in Alexandria.

The value obtained for the formation energy is 669 kJ/mol of formula units. Its calculated volume is 326.52 Å³ per cell. For the total moment, the calculation gives 2.9 μB per formula unit. The calculated density is 3.5 g/cm³. The space group is No. 123.

Cell lengths 7.3194, 7.3194, 6.0949 Å; angles 90.00, 90.00, 90.00 degrees
Fractional coordinates of all 5 atoms:
Rb (0.0000, 0.5000, 0.0000)
Rb (0.5000, 0.0000, 0.0000)
Ba (0.0000, 0.0000, 0.0000)
Hf (0.5000, 0.5000, 0.5000)
Hg (0.0000, 0.0000, 0.5000)

=====

[6]
First-principles (PBE) data for a geometry-optimized NdSb2Rh5 structure, as listed in Alexandria.

Its calculated volume is 150.35 Å³ per cell. For the total moment, the calculation gives 0.0 μB per formula unit. The calculated density is 10.0 g/cm³. The formation energy without anion corrections is -3.86 eV/f.u. The space group is No. 71.

Cell lengths 6.6657, 6.6657, 6.6657 Å; angles 145.39, 114.15, 76.57 degrees
Fractional coordinates of all 8 atoms:
Nd (0.0000, 0.0000, 0.0000)
Sb (0.2547, 0.7547, 0.5000)
Sb (0.7453, 0.2453, 0.5000)
Rh (0.1708, 0.3656, 0.8052)
Rh (0.4396, 0.6344, 0.8052)
Rh (0.5000, 0.0000, 0.5000)
Rh (0.5604, 0.3656, 0.1948)
Rh (0.8292, 0.6344, 0.1948)

=====

[7]
First-principles (PBE) data for a geometry-optimized Li3As2 structure, as listed in Alexandria.

The value obtained for the formation energy is -142 kJ/mol of formula units. Its calculated volume is 89.76 Å³ per cell. For the total moment, the calculation gives 0.0 μB per formula unit. The calculated density is 3.2 g/cm³. For the energy relative to the lowest polymorph listed for this composition, the calculation gives 203.1 meV per atom. The space group is No. 166.

Cell lengths 10.8341, 10.8341, 10.8341 Å; angles 16.53, 16.53, 16.53 degrees
Fractional coordinates of all 5 atoms:
Li (0.0000, 0.0000, 0.0000)
Li (0.2110, 0.2110, 0.2110)
Li (0.7890, 0.7890, 0.7890)
As (0.3972, 0.3972, 0.3972)
As (0.6028, 0.6028, 0.6028)

=====

[8]
First-principles (PBE) data for a geometry-optimized CuTc2Mo structure, as listed in Alexandria.

The value obtained for the formation energy is 89 kJ/mol of formula units. Its calculated volume is 57.80 Å³ per cell. For the total moment, the calculation gives 0.0 μB per formula unit. The calculated density is 10.2 g/cm³. For the energy relative to the lowest polymorph listed for this composition, the calculation gives 82.9 meV per atom. The space group is No. 8.

Cell lengths 4.8082, 4.8082, 4.5409 Å; angles 102.55, 102.55, 34.43 degrees
Fractional coordinates of all 4 atoms:
Cu (0.0000, 0.0000, 0.0000)
Tc (0.4943, 0.4943, 0.4930)
Tc (0.7508, 0.7508, 0.2632)
Mo (0.2474, 0.2474, 0.7534)